The following is a GGA-PBE calculation of an optimized crystal structure of Pa4FeN7, from the Alexandria database.

Crystal system: monoclinic

The structure in CIF format:
```
data_Pa4FeN7
_cell_length_a 12.714
_cell_length_b 3.805
_cell_length_c 8.967
_cell_angle_alpha 90.00
_cell_angle_beta 132.90
_cell_angle_gamma 90.00
_space_group_name_H-M_alt 'C 1 2/m 1'
_space_group_IT_number 12
_space_group_name_Hall '-C 2y'
loop_
_atom_site_label
_atom_site_type_symbol
_atom_site_fract_x
_atom_site_fract_y
_atom_site_fract_z
_atom_site_occupancy
Pa1 Pa 0.078 0.000 0.370 1
Pa2 Pa 0.247 0.000 0.160 1
Fe1 Fe 0.000 0.500 0.000 1
N1 N 0.000 0.000 0.000 1
N2 N 0.094 0.500 0.891 1
N3 N 0.129 0.000 0.683 1
N4 N 0.199 0.500 0.543 1
```

The following is a GGA-PBE calculation of an optimized crystal structure of Mo3SBr7, from the Alexandria database.

Crystal system: monoclinic

The structure in CIF format:
```
data_Mo3SBr7
_cell_length_a 12.098
_cell_length_b 7.058
_cell_length_c 9.291
_cell_angle_alpha 90.00
_cell_angle_beta 129.62
_cell_angle_gamma 90.00
_space_group_name_H-M_alt 'C 1 m 1'
_space_group_IT_number 8
_space_group_name_Hall 'C -2y'
loop_
_atom_site_label
_atom_site_type_symbol
_atom_site_fract_x
_atom_site_fract_y
_atom_site_fract_z
_atom_site_occupancy
Mo1 Mo 0.000 0.000 0.000 1
Mo2 Mo 0.196 0.203 0.997 1
S1 S 0.015 0.000 0.760 1
Br1 Br 0.030 0.500 0.798 1
Br2 Br 0.167 0.248 0.245 1
Br3 Br 0.286 0.247 0.801 1
Br4 Br 0.387 0.500 0.184 1
Br5 Br 0.409 0.000 0.240 1
```

The following is a GGA-PBE calculation of an optimized crystal structure of Ac2CuPbSe5, from the Alexandria database.

Crystal system: orthorhombic

The structure in CIF format:
```
data_Ac2CuPbSe5
_cell_length_a 4.272
_cell_length_b 18.161
_cell_length_c 12.834
_cell_angle_alpha 90.00
_cell_angle_beta 90.00
_cell_angle_gamma 90.00
_space_group_name_H-M_alt 'C m c 21'
_space_group_IT_number 36
_space_group_name_Hall 'C 2c -2'
loop_
_atom_site_label
_atom_site_type_symbol
_atom_site_fract_x
_atom_site_fract_y
_atom_site_fract_z
_atom_site_occupancy
Ac1 Ac 0.000 0.112 0.000 1
Ac2 Ac 0.000 0.128 0.647 1
Cu1 Cu 0.000 0.457 0.718 1
Pb1 Pb 0.000 0.182 0.337 1
Se1 Se 0.000 0.011 0.300 1
Se2 Se 0.000 0.292 0.004 1
Se3 Se 0.000 0.323 0.661 1
Se4 Se 0.000 0.344 0.325 1
Se5 Se 0.000 0.485 0.046 1
```

The following is a GGA-PBE calculation of an optimized crystal structure of Ac4ErHg5, from the Alexandria database.

Crystal system: tetragonal

The structure in CIF format:
```
data_Ac4ErHg5
_cell_length_a 3.947
_cell_length_b 3.947
_cell_length_c 20.168
_cell_angle_alpha 90.00
_cell_angle_beta 90.00
_cell_angle_gamma 90.00
_space_group_name_H-M_alt 'P 4/m m m'
_space_group_IT_number 123
_space_group_name_Hall '-P 4 2'
loop_
_atom_site_label
_atom_site_type_symbol
_atom_site_fract_x
_atom_site_fract_y
_atom_site_fract_z
_atom_site_occupancy
Ac1 Ac 0.000 0.000 0.103 1
Ac2 Ac 0.000 0.000 0.311 1
Er1 Er 0.000 0.000 0.500 1
Hg1 Hg 0.500 0.500 0.000 1
Hg2 Hg 0.500 0.500 0.206 1
Hg3 Hg 0.500 0.500 0.418 1
```

The following is a GGA-PBE calculation of an optimized crystal structure of Tb3NpO8, from the Alexandria database.

Crystal system: orthorhombic

The structure in CIF format:
```
data_Tb3NpO8
_cell_length_a 5.895
_cell_length_b 10.676
_cell_length_c 6.828
_cell_angle_alpha 90.00
_cell_angle_beta 90.00
_cell_angle_gamma 90.00
_space_group_name_H-M_alt 'C 2 2 2'
_space_group_IT_number 21
_space_group_name_Hall 'C 2 2'
loop_
_atom_site_label
_atom_site_type_symbol
_atom_site_fract_x
_atom_site_fract_y
_atom_site_fract_z
_atom_site_occupancy
Tb1 Tb 0.000 0.000 0.000 1
Tb2 Tb 0.250 0.250 0.772 1
Np1 Np 0.000 0.000 0.500 1
O1 O 0.000 0.187 0.500 1
O2 O 0.000 0.210 0.000 1
O3 O 0.223 0.031 0.728 1
```

The following is a GGA-PBE calculation of an optimized crystal structure of Ba2P, from the Alexandria database.

Crystal system: cubic

The structure in CIF format:
```
data_Ba2P
_cell_length_a 7.731
_cell_length_b 7.731
_cell_length_c 7.731
_cell_angle_alpha 90.00
_cell_angle_beta 90.00
_cell_angle_gamma 90.00
_space_group_name_H-M_alt 'F m -3 m'
_space_group_IT_number 225
_space_group_name_Hall '-F 4 2 3'
loop_
_atom_site_label
_atom_site_type_symbol
_atom_site_fract_x
_atom_site_fract_y
_atom_site_fract_z
_atom_site_occupancy
Ba1 Ba 0.250 0.250 0.250 1
P1 P 0.000 0.000 0.000 1
```

The following is a GGA-PBE calculation of an optimized crystal structure of Ce2MgPt4, from the Alexandria database.

Crystal system: monoclinic

The structure in CIF format:
```
data_Ce2MgPt4
_cell_length_a 8.547
_cell_length_b 5.532
_cell_length_c 7.878
_cell_angle_alpha 90.00
_cell_angle_beta 120.63
_cell_angle_gamma 90.00
_space_group_name_H-M_alt 'C 1 2/m 1'
_space_group_IT_number 12
_space_group_name_Hall '-C 2y'
loop_
_atom_site_label
_atom_site_type_symbol
_atom_site_fract_x
_atom_site_fract_y
_atom_site_fract_z
_atom_site_occupancy
Ce1 Ce 0.184 0.000 0.297 1
Mg1 Mg 0.000 0.500 0.000 1
Pt1 Pt 0.164 0.000 0.657 1
Pt2 Pt 0.250 0.250 0.000 1
```

The following is a GGA-PBE calculation of an optimized crystal structure of La2ScCoPb, from the Alexandria database.

Crystal system: tetragonal

The structure in CIF format:
```
data_La2ScCoPb
_cell_length_a 5.176
_cell_length_b 5.176
_cell_length_c 5.148
_cell_angle_alpha 90.00
_cell_angle_beta 90.00
_cell_angle_gamma 90.00
_space_group_name_H-M_alt 'P 4/m m m'
_space_group_IT_number 123
_space_group_name_Hall '-P 4 2'
loop_
_atom_site_label
_atom_site_type_symbol
_atom_site_fract_x
_atom_site_fract_y
_atom_site_fract_z
_atom_site_occupancy
La1 La 0.000 0.500 0.000 1
Sc1 Sc 0.000 0.000 0.500 1
Co1 Co 0.000 0.000 0.000 1
Pb1 Pb 0.500 0.500 0.500 1
```

The following is a GGA-PBE calculation of an optimized crystal structure of Li2PaSb, from the Alexandria database.

Crystal system: tetragonal

The structure in CIF format:
```
data_Li2PaSb
_cell_length_a 4.373
_cell_length_b 4.373
_cell_length_c 4.889
_cell_angle_alpha 90.00
_cell_angle_beta 90.00
_cell_angle_gamma 90.00
_space_group_name_H-M_alt 'P 4/m m m'
_space_group_IT_number 123
_space_group_name_Hall '-P 4 2'
loop_
_atom_site_label
_atom_site_type_symbol
_atom_site_fract_x
_atom_site_fract_y
_atom_site_fract_z
_atom_site_occupancy
Li1 Li 0.000 0.500 0.000 1
Pa1 Pa 0.000 0.000 0.500 1
Sb1 Sb 0.500 0.500 0.500 1
```

The following is a GGA-PBE calculation of an optimized crystal structure of Na2MgNi, from the Alexandria database.

Crystal system: tetragonal

The structure in CIF format:
```
data_Na2MgNi
_cell_length_a 3.937
_cell_length_b 3.937
_cell_length_c 21.897
_cell_angle_alpha 90.00
_cell_angle_beta 90.00
_cell_angle_gamma 90.00
_space_group_name_H-M_alt 'I -4 2 d'
_space_group_IT_number 122
_space_group_name_Hall 'I -4 2bw'
loop_
_atom_site_label
_atom_site_type_symbol
_atom_site_fract_x
_atom_site_fract_y
_atom_site_fract_z
_atom_site_occupancy
Na1 Na 0.235 0.250 0.125 1
Mg1 Mg 0.000 0.000 0.500 1
Ni1 Ni 0.000 0.000 0.000 1
```

The following is a GGA-PBE calculation of an optimized crystal structure of Rb2TcI6Br, from the Alexandria database.

Crystal system: tetragonal

The structure in CIF format:
```
data_Rb2TcI6Br
_cell_length_a 8.418
_cell_length_b 8.418
_cell_length_c 12.696
_cell_angle_alpha 90.00
_cell_angle_beta 90.00
_cell_angle_gamma 90.00
_space_group_name_H-M_alt 'I 4/m m m'
_space_group_IT_number 139
_space_group_name_Hall '-I 4 2'
loop_
_atom_site_label
_atom_site_type_symbol
_atom_site_fract_x
_atom_site_fract_y
_atom_site_fract_z
_atom_site_occupancy
Rb1 Rb 0.000 0.500 0.250 1
Tc1 Tc 0.000 0.000 0.000 1
I1 I 0.000 0.000 0.216 1
I2 I 0.233 0.233 0.000 1
Br1 Br 0.000 0.000 0.500 1
```

The following is a GGA-PBE calculation of an optimized crystal structure of Sr5Ca3Te8, from the Alexandria database.

Crystal system: trigonal

The structure in CIF format:
```
data_Sr5Ca3Te8
_cell_length_a 9.3363
_cell_length_b 9.3363
_cell_length_c 22.8759
_cell_angle_alpha 90.00
_cell_angle_beta 90.00
_cell_angle_gamma 120.00
_space_group_name_H-M_alt 'R -3 m'
_space_group_IT_number 166
_space_group_name_Hall '-R 3 2"'
loop_
_atom_site_label
_atom_site_type_symbol
_atom_site_fract_x
_atom_site_fract_y
_atom_site_fract_z
_atom_site_occupancy
Sr1 Sr 0.0000 0.0000 0.0000 1
Sr2 Sr 0.0000 0.0000 0.5000 1
Sr3 Sr 0.0000 0.5000 0.0000 1
Ca1 Ca 0.0000 0.5000 0.5000 1
Te1 Te 0.0000 0.0000 0.2458 1
Te2 Te 0.0057 0.5029 0.7529 1
```

The following E_tot values (in eV/atom) correspond, in order, to the records above: -10.227 -4.994 -4.979 -2.707 -8.606 -3.870 -6.180 -5.749 -4.442 -2.094 -2.894 -4.175.
The following magnetization values (in μB/f.u.) correspond, in order, to the records above: 1.00 0.98 0.00 1.14 0.00 0.00 1.53 0.00 1.32 0.00 3.32 0.00.